(A)
AcLa3Tc | PBE | relaxed

Computed properties:
As for the calculated volume: 35.79 A^3/atom. The total magnetization comes out at 0.0 μB per cell. As for the density of states at the Fermi level: 6.99 states/eV/cell. The mass density comes out at 6.9 g/cm³.

Cell lengths 5.635, 5.635, 5.635 Å; angles 90.00, 90.00, 90.00 degrees
Fractional positions:
Ac 0.500 0.500 0.500
Tc 0.000 0.000 0.000
La 0.000 0.500 0.000
La 0.000 0.000 0.500
La 0.500 0.000 0.000



(B)
AcLa3Tc | PBE | relaxed

Computed properties:
As for the calculated volume: 35.79 A^3/atom. The total magnetization comes out at 0.0 μB per cell. As for the density of states at the Fermi level: 11.68 states/eV/cell. The mass density comes out at 6.9 g/cm³.

Cell lengths 6.850, 7.680, 7.680 Å; angles 62.36, 89.08, 89.08 degrees
Fractional positions:
Ac 0.586 0.023 0.157
Ac 0.910 0.275 0.409
La 0.582 0.531 0.665
La 0.905 0.770 0.905
La 0.418 0.035 0.647
La 0.418 0.513 0.170
La 0.087 0.272 0.904
La 0.087 0.770 0.407
Tc 0.272 0.649 0.783
Tc 0.253 0.884 0.018



Which of them is the most stable? Correct choice: (B).



(A)
AcLa4Tc | PBE | relaxed

Computed properties:
As for the calculated volume: 36.63 A^3/atom. The total magnetization comes out at 0.0 μB per cell. As for the density of states at the Fermi level: 14.97 states/eV/cell. The mass density comes out at 6.7 g/cm³.

Cell lengths 6.855, 7.710, 9.352 Å; angles 105.85, 111.50, 90.01 degrees
Fractional positions:
Ac 0.925 0.750 0.000
Ac 0.075 0.250 0.000
La 0.492 0.027 0.800
La 0.691 0.473 0.200
La 0.508 0.973 0.200
La 0.309 0.527 0.800
La 0.898 0.855 0.606
La 0.292 0.644 0.394
La 0.102 0.145 0.394
La 0.708 0.356 0.606
Tc 0.500 0.000 0.500
Tc 0.000 0.500 0.500



(B)
AcLa4Tc | PBE | relaxed

Computed properties:
As for the calculated volume: 34.75 A^3/atom. The total magnetization comes out at 0.0 μB per cell. As for the density of states at the Fermi level: 17.71 states/eV/cell. The mass density comes out at 7.0 g/cm³.

Cell lengths 6.321, 8.389, 8.389 Å; angles 103.09, 99.72, 99.72 degrees
Fractional positions:
Ac 0.750 0.602 0.398
Ac 0.250 0.398 0.602
La 0.879 0.647 0.841
La 0.050 0.943 0.261
La 0.621 0.159 0.353
La 0.450 0.739 0.057
La 0.550 0.261 0.943
La 0.379 0.841 0.647
La 0.950 0.057 0.739
La 0.121 0.353 0.159
Tc 0.250 0.996 0.004
Tc 0.750 0.004 0.996



Which of them is the most stable? Correct choice: (B).



(A)
Ac3LaTe6 | PBE | relaxed

Computed properties:
As for the calculated volume: 40.27 A^3/atom. The total magnetization comes out at 0.0 μB per cell. The mass density comes out at 6.5 g/cm³.

Cell lengths 4.709, 13.204, 13.648 Å; angles 108.36, 90.00, 90.00 degrees
Fractional positions:
Ac 0.750 0.423 0.830
Ac 0.250 0.577 0.170
Ac 0.750 0.684 0.505
Ac 0.250 0.316 0.495
Ac 0.750 0.158 0.079
Ac 0.250 0.842 0.921
La 0.750 0.042 0.688
La 0.250 0.958 0.312
Te 0.750 0.484 0.617
Te 0.250 0.516 0.383
Te 0.750 0.916 0.106
Te 0.250 0.084 0.894
Te 0.750 0.402 0.067
Te 0.250 0.598 0.933
Te 0.750 0.758 0.285
Te 0.250 0.242 0.715
Te 0.750 0.107 0.463
Te 0.250 0.893 0.537
Te 0.750 0.818 0.751
Te 0.250 0.182 0.249



(B)
Ac3LaTe6 | PBE | relaxed

Computed properties:
As for the calculated volume: 40.73 A^3/atom. The total magnetization comes out at 0.0 μB per cell. As for the density of states at the Fermi level: 0.00 states/eV/cell. The mass density comes out at 6.5 g/cm³.

Cell lengths 7.827, 8.756, 11.889 Å; angles 90.00, 91.38, 90.00 degrees
Fractional positions:
Ac 0.547 0.891 0.746
Ac 0.500 0.500 0.000
Ac 0.453 0.109 0.254
Ac 0.047 0.609 0.246
Ac 0.000 0.000 0.500
Ac 0.953 0.391 0.754
La 0.500 0.500 0.500
La 0.000 0.000 0.000
Te 0.671 0.179 0.917
Te 0.661 0.183 0.578
Te 0.662 0.440 0.256
Te 0.338 0.560 0.744
Te 0.339 0.817 0.422
Te 0.329 0.821 0.083
Te 0.171 0.321 0.417
Te 0.161 0.317 0.078
Te 0.162 0.060 0.756
Te 0.838 0.940 0.244
Te 0.839 0.683 0.922
Te 0.829 0.679 0.583



Which of them is the most stable? Correct choice: (A).



(A)
AcLa2Te | PBE | relaxed

Computed properties:
As for the calculated volume: 38.67 A^3/atom. The total magnetization comes out at 0.0 μB per cell. As for the density of states at the Fermi level: 6.06 states/eV/cell. The mass density comes out at 6.8 g/cm³.

Cell lengths 4.126, 4.126, 10.758 Å; angles 78.94, 78.94, 60.00 degrees
Fractional positions:
Ac 0.000 0.000 0.000
Te 0.500 0.500 0.500
La 0.235 0.235 0.294
La 0.765 0.765 0.706



(B)
AcLa2Te | PBE | relaxed

Computed properties:
As for the calculated volume: 32.99 A^3/atom. The total magnetization comes out at 0.0 μB per cell. As for the density of states at the Fermi level: 5.15 states/eV/cell. The mass density comes out at 8.0 g/cm³.

Cell lengths 4.988, 5.143, 5.143 Å; angles 90.00, 90.00, 90.00 degrees
Fractional positions:
Ac 0.500 0.000 0.000
Te 0.500 0.500 0.500
La 0.000 0.000 0.500
La 0.000 0.500 0.000



(C)
AcLa2Te | PBE | relaxed

Computed properties:
As for the calculated volume: 35.35 A^3/atom. The total magnetization comes out at 0.0 μB per cell. As for the density of states at the Fermi level: 3.06 states/eV/cell. The mass density comes out at 7.4 g/cm³.

Cell lengths 4.034, 4.034, 8.688 Å; angles 90.00, 90.00, 90.00 degrees
Fractional positions:
Ac 0.500 0.500 0.000
Te 0.500 0.500 0.500
La 0.000 0.000 0.711
La 0.000 0.000 0.289



Which of them is the most stable? Correct choice: (C).



(A)
AcLaTe2 | PBE | relaxed

Computed properties:
As for the calculated volume: 36.08 A^3/atom. The total magnetization comes out at 0.0 μB per cell. As for the density of states at the Fermi level: 1.64 states/eV/cell. The mass density comes out at 7.1 g/cm³.

Cell lengths 4.514, 4.514, 8.584 Å; angles 74.76, 74.76, 60.00 degrees
Fractional positions:
Ac 0.671 0.671 0.987
La 0.496 0.496 0.513
Te 0.086 0.086 0.743
Te 0.248 0.248 0.257



(B)
AcLaTe2 | PBE | relaxed

Computed properties:
As for the calculated volume: 45.84 A^3/atom. The total magnetization comes out at 0.0 μB per cell. As for the density of states at the Fermi level: 2.19 states/eV/cell. The mass density comes out at 5.6 g/cm³.

Cell lengths 4.554, 4.554, 10.542 Å; angles 77.53, 77.53, 60.00 degrees
Fractional positions:
Ac 0.000 0.000 0.000
Te 0.106 0.106 0.681
Te 0.894 0.894 0.319
La 0.500 0.500 0.500



Which of them is the most stable? Correct choice: (A).



(A)
AcLaTe2 | PBE | relaxed

Computed properties:
As for the calculated volume: 35.78 A^3/atom. The total magnetization comes out at 0.0 μB per cell. As for the density of states at the Fermi level: 4.74 states/eV/cell. The mass density comes out at 7.2 g/cm³.

Cell lengths 4.566, 4.566, 15.854 Å; angles 90.00, 90.00, 120.00 degrees
Fractional positions:
Ac 0.667 0.333 0.250
Ac 0.333 0.667 0.750
La 0.000 0.000 0.500
La 0.000 0.000 0.000
Te 0.333 0.667 0.381
Te 0.667 0.333 0.881
Te 0.667 0.333 0.619
Te 0.333 0.667 0.119



(B)
AcLaTe2 | PBE | relaxed

Computed properties:
As for the calculated volume: 32.11 A^3/atom. The total magnetization comes out at 0.9 μB per cell. As for the density of states at the Fermi level: 3.13 states/eV/cell. The mass density comes out at 8.0 g/cm³.

Cell lengths 4.005, 4.005, 8.008 Å; angles 90.00, 90.00, 90.00 degrees
Fractional positions:
Ac 0.500 0.500 0.500
Te 0.000 0.000 0.758
Te 0.000 0.000 0.242
La 0.500 0.500 0.000



(C)
AcLaTe2 | PBE | relaxed

Computed properties:
As for the calculated volume: 35.83 A^3/atom. The total magnetization comes out at 0.0 μB per cell. As for the density of states at the Fermi level: 5.52 states/eV/cell. The mass density comes out at 7.2 g/cm³.

Cell lengths 6.593, 6.593, 8.075 Å; angles 114.09, 114.09, 90.00 degrees
Fractional positions:
Ac 0.750 0.250 0.500
Ac 0.000 0.000 0.000
La 0.500 0.500 0.000
La 0.250 0.750 0.500
Te 0.747 0.747 0.494
Te 0.497 0.997 0.994
Te 0.253 0.253 0.506
Te 0.003 0.503 0.006



Which of them is the most stable? Correct choice: (C).